Compound: Na2H3Pd2
Source: Alexandria
Functional: PBE
Structure: optimized geometry

Cell and atoms, written as POSCAR:
```
Na2H3Pd2
1.0
-2.1717 -0.7265 -1.6746
4.7230 -2.0936 -2.7496
-0.2392 -4.9208 2.5093
Pd H Na
2 3 2
Direct
0.5961 0.1869 0.8187 Pd
0.4039 0.8131 0.1813 Pd
0.8237 0.6526 0.2941 H
0.0000 0.0000 0.0000 H
0.1763 0.3474 0.7059 H
0.1456 0.2862 0.3018 Na
0.8544 0.7138 0.6982 Na
```

* energy above the most stable polymorph in this dataset: 0.024 eV/atom
* final energy: -3.533 eV per atom
* density: 4.90 g/cm³

Compound: NaHPd3
Source: Alexandria
Functional: PBE
Structure: optimized geometry

Cell and atoms, written as POSCAR:
```
NaHPd3
1.0
-0.0069 -0.9568 2.5396
-5.0235 5.3478 2.0012
0.0413 -7.1168 -2.6812
Pd Na H
3 1 1
Direct
0.0000 0.2744 0.7256 Pd
0.5000 0.1568 0.3337 Pd
0.5000 0.6663 0.8432 Pd
0.5000 0.0921 0.9079 Na
0.0000 0.4384 0.5616 H
```

* energy above the most stable polymorph in this dataset: 0.428 eV/atom
* final energy: -3.765 eV per atom
* density: 5.53 g/cm³

Compound: Na5H12Pd3
Source: Alexandria
Functional: PBE
Structure: optimized geometry

Cell and atoms, written as POSCAR:
```
Na5H12Pd3
1.0
-9.5442 -0.3395 5.2894
3.0386 -10.1378 -2.6787
7.5787 4.4856 6.4519
H Pd Na
48 12 20
Direct
0.4219 0.7717 0.7965 H
0.7965 0.5248 0.8747 H
0.0781 0.3747 0.8499 H
0.5781 0.3499 0.8747 H
0.1253 0.1501 0.4219 H
0.6253 0.7035 0.4752 H
0.7283 0.2035 0.0781 H
0.8747 0.0248 0.7965 H
0.5248 0.7965 0.3747 H
0.2283 0.5781 0.7035 H
0.4752 0.2717 0.3499 H
0.1253 0.9752 0.2035 H
0.6253 0.9219 0.6501 H
0.2283 0.6501 0.0248 H
0.0248 0.1501 0.2283 H
0.1501 0.0248 0.7283 H
0.6501 0.4219 0.6253 H
0.7717 0.4219 0.2965 H
0.9752 0.1253 0.7035 H
0.3747 0.0781 0.3499 H
0.6501 0.2283 0.5248 H
0.2035 0.7283 0.5781 H
0.2035 0.4752 0.1253 H
0.7717 0.3499 0.9752 H
0.3499 0.7717 0.4752 H
0.7965 0.2717 0.4219 H
0.3747 0.2965 0.5248 H
0.4752 0.2035 0.6253 H
0.0248 0.8747 0.2965 H
0.7283 0.5248 0.1501 H
0.9752 0.8499 0.7717 H
0.7035 0.6253 0.9752 H
0.3499 0.5781 0.3747 H
0.2965 0.9219 0.7717 H
0.5248 0.7283 0.6501 H
0.2717 0.7965 0.9219 H
0.2717 0.4752 0.8499 H
0.0781 0.7035 0.7283 H
0.1501 0.1253 0.9219 H
0.9219 0.2965 0.2717 H
0.4219 0.6501 0.1253 H
0.8747 0.8499 0.5781 H
0.8499 0.9752 0.2717 H
0.8499 0.8747 0.0781 H
0.5781 0.2283 0.2035 H
0.7035 0.0781 0.2283 H
0.9219 0.6253 0.1501 H
0.2965 0.3747 0.0248 H
0.6250 0.3750 0.7500 Pd
0.1250 0.8750 0.7500 Pd
0.1250 0.2500 0.8750 Pd
0.8750 0.7500 0.1250 Pd
0.7500 0.8750 0.6250 Pd
0.3750 0.7500 0.6250 Pd
0.7500 0.3750 0.1250 Pd
0.3750 0.6250 0.2500 Pd
0.6250 0.2500 0.3750 Pd
0.2500 0.1250 0.3750 Pd
0.2500 0.6250 0.8750 Pd
0.8750 0.1250 0.2500 Pd
0.1250 0.3750 0.2500 Na
0.6250 0.8750 0.2500 Na
0.5000 0.0000 0.0000 Na
0.0000 0.0000 0.0000 Na
0.3750 0.1250 0.7500 Na
0.6250 0.7500 0.8750 Na
0.2500 0.8750 0.1250 Na
0.8750 0.6250 0.7500 Na
0.2500 0.3750 0.6250 Na
0.7500 0.6250 0.3750 Na
0.8750 0.2500 0.6250 Na
0.7500 0.1250 0.8750 Na
0.0000 0.5000 0.5000 Na
0.5000 0.5000 0.0000 Na
0.0000 0.5000 0.0000 Na
0.3750 0.2500 0.1250 Na
0.1250 0.7500 0.3750 Na
0.0000 0.0000 0.5000 Na
0.5000 0.0000 0.5000 Na
0.5000 0.5000 0.5000 Na
```

* final energy: -3.009 eV per atom
* density: 2.96 g/cm³

Compound: NaH2Pd
Source: Alexandria
Functional: PBE
Structure: optimized geometry

Cell and atoms, written as POSCAR:
```
NaH2Pd
1.0
-1.5209 0.8922 2.4926
0.3394 -1.5253 2.6231
3.6536 2.9754 3.0343
Pd H Na
1 2 1
Direct
0.6705 0.6705 0.9886 Pd
0.0539 0.0539 0.8384 H
0.2819 0.2819 0.1543 H
0.4938 0.4938 0.5187 Na
```

* energy above the most stable polymorph in this dataset: 0.169 eV/atom
* final energy: -3.392 eV per atom
* density: 5.08 g/cm³